1.
VASP calculation (PBE) on an optimized crystal structure of Ti6Co5Rh.

Cell: 7.3408 7.3408 7.3408 Å, 146.53 131.21 60.46°
Last column: nearest neighbours and their distance in Å.
Element x y z (fractional)
Ti1 0.0764 0.3302 0.7462  7 Co 2.56-2.62, 1 Rh 2.65
Ti2 0.2421 0.0000 0.2421  6 Co 2.57-2.63, 2 Rh 2.63
Ti3 0.4160 0.6698 0.7462  7 Co 2.56-2.62, 1 Rh 2.65
Ti4 0.5840 0.3302 0.2538  7 Co 2.56-2.62, 1 Rh 2.65
Ti5 0.7579 0.0000 0.7579  6 Co 2.57-2.63, 2 Rh 2.63
Ti6 0.9236 0.6698 0.2538  7 Co 2.56-2.62, 1 Rh 2.65
Co1 0.0000 0.5000 0.5000  8 Ti 2.57-2.62
Co2 0.1663 0.1663 0.0000  8 Ti 2.57-2.59
Co3 0.3335 0.8335 0.5000  8 Ti 2.56-2.63
Co4 0.6665 0.1665 0.5000  8 Ti 2.56-2.63
Co5 0.8337 0.8337 0.0000  8 Ti 2.57-2.59
Rh1 0.5000 0.5000 0.0000  8 Ti 2.63-2.65

Results
E_form = -0.44 eV/atom

***

2.
VASP calculation (PBE) on an optimized crystal structure of Ti2CoRh.

Cell: 5.3850 5.3850 5.3850 Å, 150.57 128.89 60.08°
Last column: nearest neighbours and their distance in Å.
Element x y z (fractional)
Ti1 0.2408 0.2408 0.0000  1 Co 2.25, 1 Rh 2.42
Ti2 0.7592 0.7592 0.0000  1 Co 2.25, 1 Rh 2.42
Co1 0.0000 0.0000 0.0000  2 Ti 2.25
Rh1 0.5000 0.5000 0.0000  2 Ti 2.42, 4 Co 2.70

Results
E_form = 0.14 eV/atom

***

3.
VASP calculation (PBE) on an optimized crystal structure of TiCo3Rh.

Cell: 4.4760 4.4760 4.4760 Å, 90.00 90.00 90.00°
Last column: nearest neighbours and their distance in Å.
Element x y z (fractional)
Ti1 0.0000 0.0000 0.0000  12 Co 3.17
Co1 0.0000 0.5000 0.5000  2 Rh 2.24
Co2 0.5000 0.0000 0.5000  2 Rh 2.24
Co3 0.5000 0.5000 0.0000  2 Rh 2.24
Rh1 0.5000 0.5000 0.5000  6 Co 2.24

Results
Offset from the most stable computed form = 120.9 meV/atom
E_form = 1.18 eV/atom

***

4.
VASP calculation (PBE) on an optimized crystal structure of TiCo4Rh.

Cell: 4.7125 4.7125 4.7125 Å, 60.00 60.00 60.00°
Last column: nearest neighbours and their distance in Å.
Element x y z (fractional)
Ti1 0.0000 0.0000 0.0000  12 Co 2.76, 4 Rh 2.89
Co1 0.1258 0.6247 0.6247  6 Co 2.35-2.36
Co2 0.6247 0.1258 0.6247  6 Co 2.35-2.36
Co3 0.6247 0.6247 0.1258  6 Co 2.35-2.36
Co4 0.6247 0.6247 0.6247  6 Co 2.35-2.36
Rh1 0.2500 0.2500 0.2500  12 Co 2.76, 4 Ti 2.89

Results
E_form = -0.21 eV/atom

***

5.
VASP calculation (PBE) on an optimized crystal structure of TiCoRh.

Cell: 7.1057 7.1057 7.1057 Å, 110.61 90.67 129.51°
Last column: nearest neighbours and their distance in Å.
Element x y z (fractional)
Ti1 0.1724 0.0038 0.1762  3 Co 2.30-2.39
Ti2 0.1724 0.4962 0.6686  3 Co 2.30-2.39
Ti3 0.4566 0.7499 0.2067  6 Co 2.40-2.65, 2 Rh 2.53-2.60
Ti4 0.5432 0.2499 0.7933  6 Co 2.40-2.65, 2 Rh 2.53-2.60
Ti5 0.8276 0.5038 0.3314  3 Co 2.30-2.39
Ti6 0.8276 0.9962 0.8238  3 Co 2.30-2.39
Co1 0.2493 0.3122 0.8389  3 Ti 2.30-2.40, 2 Co 2.37-2.51
Co2 0.2493 0.9105 0.4371  3 Ti 2.30-2.40, 2 Co 2.37-2.51
Co3 0.4733 0.4105 0.1611  3 Ti 2.30-2.40, 2 Co 2.37-2.51
Co4 0.4733 0.8122 0.5629  3 Ti 2.30-2.40, 2 Co 2.37-2.51
Co5 0.7270 0.2270 0.5000  4 Ti 2.39-2.48, 2 Co 2.51
Co6 0.7270 0.7270 0.0000  4 Ti 2.39-2.48, 2 Co 2.51
Rh1 0.0016 0.5112 0.9903  6 Ti 2.53-2.74
Rh2 0.0429 0.2940 0.2489  5 Ti 2.65-2.80, 4 Co 2.76-2.79, 3 Rh 2.90-2.94
Rh3 0.0451 0.7940 0.7511  5 Ti 2.65-2.80, 4 Co 2.76-2.79, 3 Rh 2.90-2.94
Rh4 0.4985 0.4464 0.5521  5 Ti 2.66-2.72, 6 Co 2.69-2.83, 1 Rh 2.90
Rh5 0.5209 0.0112 0.0097  6 Ti 2.53-2.74
Rh6 0.8943 0.9464 0.4479  5 Ti 2.66-2.72, 6 Co 2.69-2.83, 1 Rh 2.90

Results
Offset from the most stable computed form = 50.2 meV/atom
E_form = -0.33 eV/atom

***

6.
VASP calculation (PBE) on an optimized crystal structure of TiCo2Rh.

Cell: 4.1863 4.1863 4.1863 Å, 60.00 60.00 60.00°
Last column: nearest neighbours and their distance in Å.
Element x y z (fractional)
Ti1 0.0000 0.0000 0.0000  8 Co 2.56
Co1 0.2500 0.2500 0.2500  4 Rh 2.56, 4 Ti 2.56
Co2 0.7500 0.7500 0.7500  4 Rh 2.56, 4 Ti 2.56
Rh1 0.5000 0.5000 0.5000  8 Co 2.56

Results
E_form = -0.16 eV/atom

***

7.
VASP calculation (PBE) on an optimized crystal structure of Ti4CoRh.

Cell: 4.1602 4.1602 5.9577 Å, 90.12 90.12 90.00°
Last column: nearest neighbours and their distance in Å.
Element x y z (fractional)
Ti1 0.0009 0.5010 0.7613  2 Co 2.51-2.53, 2 Rh 2.60
Ti2 0.4990 0.9991 0.2387  2 Co 2.51-2.53, 2 Rh 2.60
Ti3 0.5010 0.0009 0.7613  2 Co 2.51-2.53, 2 Rh 2.60
Ti4 0.9991 0.4990 0.2387  2 Co 2.51-2.53, 2 Rh 2.60
Co1 0.0000 0.0000 0.0000  8 Ti 2.51-2.53
Rh1 0.5000 0.5000 0.5000  8 Ti 2.60

Results
E_form = -0.15 eV/atom

***

8.
VASP calculation (PBE) on an optimized crystal structure of TiCo2Rh.

Cell: 9.2502 9.2502 9.2502 Å, 157.99 157.99 31.33°
Last column: nearest neighbours and their distance in Å.
Element x y z (fractional)
Ti1 0.0000 0.0000 0.0000  4 Rh 2.50, 4 Co 2.54
Ti2 0.7500 0.2500 0.5000  4 Rh 2.50, 4 Co 2.54
Co1 0.1163 0.6250 0.9913  4 Co 2.45-2.54, 2 Ti 2.54, 2 Rh 2.56
Co2 0.3750 0.3663 0.4913  4 Co 2.45-2.54, 2 Ti 2.54, 2 Rh 2.56
Co3 0.6337 0.1250 0.0087  4 Co 2.45-2.54, 2 Ti 2.54, 2 Rh 2.56
Co4 0.8750 0.8837 0.5087  4 Co 2.45-2.54, 2 Ti 2.54, 2 Rh 2.56
Rh1 0.2500 0.7500 0.5000  4 Ti 2.50, 4 Co 2.56
Rh2 0.5000 0.5000 0.0000  4 Ti 2.50, 4 Co 2.56

Results
E_form = 0.10 eV/atom

***

9.
VASP calculation (PBE) on an optimized crystal structure of Ti5CoRh4.

Cell: 2.9313 2.9313 17.0274 Å, 90.00 90.00 90.00°
Last column: nearest neighbours and their distance in Å.
Element x y z (fractional)
Ti1 0.0000 0.0000 0.0000  8 Rh 2.70, 4 Ti 2.93
Ti2 0.0000 0.0000 0.2052  8 Rh 2.72, 4 Ti 2.93
Ti3 0.0000 0.0000 0.4093  4 Co 2.59, 4 Rh 2.69
Ti4 0.0000 0.0000 0.5907  4 Co 2.59, 4 Rh 2.69
Ti5 0.0000 0.0000 0.7948  8 Rh 2.72, 4 Ti 2.93
Co1 0.5000 0.5000 0.5000  8 Ti 2.59
Rh1 0.5000 0.5000 0.1014  8 Ti 2.70-2.72, 4 Rh 2.93
Rh2 0.5000 0.5000 0.3087  8 Ti 2.69-2.72, 4 Rh 2.93
Rh3 0.5000 0.5000 0.6913  8 Ti 2.69-2.72, 4 Rh 2.93
Rh4 0.5000 0.5000 0.8986  8 Ti 2.70-2.72, 4 Rh 2.93

Results
E_form = -0.67 eV/atom

***

10.
VASP calculation (PBE) on an optimized crystal structure of TiCo3Rh.

Cell: 4.1864 4.1864 4.1864 Å, 90.00 90.00 90.00°
Last column: nearest neighbours and their distance in Å.
Element x y z (fractional)
Ti1 0.0000 0.0000 0.0000  6 Co 2.09
Co1 0.0000 0.0000 0.5000  2 Ti 2.09
Co2 0.0000 0.5000 0.0000  2 Ti 2.09
Co3 0.5000 0.0000 0.0000  2 Ti 2.09
Rh1 0.5000 0.5000 0.5000  12 Co 2.96

Results
Offset from the most stable computed form = 0.0 meV/atom
E_form = 1.05 eV/atom

***

11.
VASP calculation (PBE) on an optimized crystal structure of TiCoRh.

Cell: 3.7900 2.9365 4.0786 Å, 90.00 90.17 90.00°
Last column: nearest neighbours and their distance in Å.
Element x y z (fractional)
Ti1 0.0000 0.0000 0.0000  4 Co 2.40
Co1 0.5000 0.5000 0.0000  4 Ti 2.40, 4 Rh 2.51
Rh1 0.5000 0.0000 0.5000  4 Co 2.51, 4 Ti 2.78-2.79

Results
Offset from the most stable computed form = 404.3 meV/atom
E_form = 0.03 eV/atom

***

12.
VASP calculation (PBE) on an optimized crystal structure of Ti6CoRh5.

Cell: 6.7012 6.7012 6.5604 Å, 90.00 90.00 143.12°
Last column: nearest neighbours and their distance in Å.
Element x y z (fractional)
Ti1 0.0000 0.0000 0.2417  6 Rh 2.64-2.72, 2 Co 2.65
Ti2 0.0000 0.0000 0.7583  6 Rh 2.64-2.72, 2 Co 2.65
Ti3 0.3367 0.6633 0.2465  1 Co 2.63, 7 Rh 2.66-2.72
Ti4 0.3367 0.6633 0.7535  1 Co 2.63, 7 Rh 2.66-2.72
Ti5 0.6633 0.3367 0.2465  1 Co 2.63, 7 Rh 2.66-2.72
Ti6 0.6633 0.3367 0.7535  1 Co 2.63, 7 Rh 2.66-2.72
Co1 0.5000 0.5000 0.0000  8 Ti 2.63-2.65
Rh1 0.1659 0.8341 0.0000  8 Ti 2.64-2.71
Rh2 0.1674 0.8326 0.5000  8 Ti 2.69-2.72, 4 Rh 2.98-3.00
Rh3 0.5000 0.5000 0.5000  8 Ti 2.66-2.71
Rh4 0.8326 0.1674 0.5000  8 Ti 2.69-2.72, 4 Rh 2.98-3.00
Rh5 0.8341 0.1659 0.0000  8 Ti 2.64-2.71

Results
E_form = -0.68 eV/atom

***

Look up the E_form of the eleventh one.
0.03 eV/atom